Density functional theory data (PBE-GGA) for NdTlCd2 after structural relaxation. Values from VASP.

Geometry as Quantum ESPRESSO input:
```
&SYSTEM
  ibrav = 0, nat = 4, ntyp = 3
/
ATOMIC_SPECIES
Nd 144.24 Nd.upf
Tl 204.38 Tl.upf
Cd 112.41 Cd.upf
CELL_PARAMETERS angstrom
5.1681 0.0000 0.0000
-2.5841 4.4757 0.0000
0.0000 0.0000 5.9822
ATOMIC_POSITIONS crystal
Nd 0.0000 0.0000 0.0000
Tl 0.6667 0.3333 0.5000
Cd 0.0000 0.0000 0.5000
Cd 0.3333 0.6667 0.5000
```

ΔE to the lowest computed polymorph ... 683 meV per atom



Density functional theory data (PBE-GGA) for TiAl after structural relaxation. Values from VASP.

Geometry as Quantum ESPRESSO input:
```
&SYSTEM
  ibrav = 0, nat = 12, ntyp = 2
/
ATOMIC_SPECIES
Ti 47.87 Ti.upf
Al 26.98 Al.upf
CELL_PARAMETERS angstrom
7.4042 0.0000 0.0000
-3.7021 6.4122 0.0000
0.0000 0.0000 4.6819
ATOMIC_POSITIONS crystal
Ti 0.0488 0.8118 0.2500
Ti 0.1882 0.2370 0.2500
Ti 0.2370 0.0488 0.7500
Ti 0.7630 0.9512 0.2500
Ti 0.8118 0.7630 0.7500
Ti 0.9512 0.1882 0.7500
Al 0.0989 0.6167 0.7500
Al 0.3833 0.4822 0.7500
Al 0.4822 0.0989 0.2500
Al 0.5178 0.9011 0.7500
Al 0.6167 0.5178 0.2500
Al 0.9011 0.3833 0.2500
```

E_tot ... -5.8418 eV/atom



Density functional theory data (PBE-GGA) for V3Fe3Ir after structural relaxation. Values from VASP.

Geometry as Quantum ESPRESSO input:
```
&SYSTEM
  ibrav = 0, nat = 14, ntyp = 3
/
ATOMIC_SPECIES
V 50.94 V.upf
Fe 55.84 Fe.upf
Ir 192.22 Ir.upf
CELL_PARAMETERS angstrom
3.7918 -4.2508 0.0000
3.7918 4.2508 0.0000
0.0000 0.0000 5.5324
ATOMIC_POSITIONS crystal
V 0.2321 0.7679 0.0000
V 0.2590 0.7410 0.5000
V 0.3081 0.3081 0.0000
V 0.6919 0.6919 0.0000
V 0.7410 0.2590 0.5000
V 0.7679 0.2321 0.0000
Fe 0.0000 0.0000 0.2634
Fe 0.0000 0.0000 0.7366
Fe 0.0000 0.5000 0.2434
Fe 0.0000 0.5000 0.7566
Fe 0.5000 0.0000 0.2434
Fe 0.5000 0.0000 0.7566
Ir 0.3051 0.3051 0.5000
Ir 0.6949 0.6949 0.5000
```

E_tot ... -8.7835 eV/atom



Density functional theory data (PBE-GGA) for NbTeP after structural relaxation. Values from VASP.

Geometry as Quantum ESPRESSO input:
```
&SYSTEM
  ibrav = 0, nat = 3, ntyp = 3
/
ATOMIC_SPECIES
Nb 92.91 Nb.upf
Te 127.60 Te.upf
P 30.97 P.upf
CELL_PARAMETERS angstrom
3.6940 0.0000 0.0000
-1.8470 3.1991 0.0000
0.0000 0.0000 5.8466
ATOMIC_POSITIONS crystal
Nb 0.0000 0.0000 0.0000
Te 0.3333 0.6667 0.3135
P 0.3333 0.6667 0.7771
```

Formation energy without anion corrections ... -9.06 kcal/mol of atoms



Values of magnetic moment, in order: 0.091, 0.089, 0.276, 0.000, all in μB per atom.